The following is a DFT calculation (PBE) of a relaxed Li3Zn crystal.

Values from the calculation:
Energy ... -7.4 eV for the cell shown
SG ... Pmmm
DOS(E_F) ... 1.45 states/eV per cell
Density ... 2.14 Mg/m³
Total moment ... 0.00 μB per formula unit

Cell and atoms, written as extended XYZ:
```
4
Lattice="2.894 0.000 0.000 0.000 3.966 0.000 0.000 0.000 5.819" Properties=species:S:1:pos:R:3 pbc="T T T"
Li 0.000 0.000 0.000
Li 1.447 1.983 1.585
Li 1.447 1.983 4.234
Zn 0.000 0.000 2.910
```

---

The following is a DFT calculation (PBE) of a relaxed FeIrPt crystal.

Values from the calculation:
SG ... P4/nmm
DOS(E_F) ... 9.88 states/eV per cell
Energy above the most stable polymorph in this dataset ... 250.1 meV per atom
Density ... 16.25 Mg/m³
Total moment ... 2.93 μB per formula unit

Cell and atoms, written as extended XYZ:
```
6
Lattice="3.806 0.000 0.000 0.000 3.806 0.000 0.000 0.000 6.252" Properties=species:S:1:pos:R:3 pbc="T T T"
Fe 0.952 0.952 1.370
Fe 2.855 2.855 4.882
Ir 0.952 2.855 3.126
Ir 2.855 0.952 3.126
Pt 0.952 0.952 5.180
Pt 2.855 2.855 1.072
```

---

Among the records above, which one has the highest total moment? FeIrPt

---

Please write out number 1 again, unchanged.
The following is a DFT calculation (PBE) of a relaxed Li3Zn crystal.

Values from the calculation:
Energy ... -7.4 eV for the cell shown
SG ... Pmmm
DOS(E_F) ... 1.45 states/eV per cell
Density ... 2.14 Mg/m³
Total moment ... 0.00 μB per formula unit

Cell and atoms, written as extended XYZ:
```
4
Lattice="2.894 0.000 0.000 0.000 3.966 0.000 0.000 0.000 5.819" Properties=species:S:1:pos:R:3 pbc="T T T"
Li 0.000 0.000 0.000
Li 1.447 1.983 1.585
Li 1.447 1.983 4.234
Zn 0.000 0.000 2.910
```

---

Among the records above, which one has the lowest DOS(E_F)? Li3Zn